Entry 1:
! AcIn6Ag3 (GGA-PBE, optimized geometry); values from VASP
&SYSTEM
  ibrav = 0, nat = 20, ntyp = 3
/
ATOMIC_SPECIES
In 114.82 In.upf
Ag 107.87 Ag.upf
Ac 227.00 Ac.upf
CELL_PARAMETERS angstrom
4.980 0.000 0.000
0.000 10.052 -0.256
0.000 2.570 9.920
ATOMIC_POSITIONS crystal
In 0.250 0.292 0.204
In 0.750 0.110 0.377
In 0.750 0.467 0.106
In 0.250 0.627 0.508
In 0.250 0.160 0.948
In 0.750 0.373 0.492
In 0.250 0.890 0.623
In 0.750 0.649 0.320
In 0.250 0.533 0.894
In 0.750 0.708 0.796
In 0.750 0.840 0.052
In 0.250 0.351 0.680
Ag 0.750 0.821 0.510
Ag 0.250 0.840 0.914
Ag 0.250 0.179 0.490
Ag 0.250 0.615 0.164
Ag 0.750 0.385 0.836
Ag 0.750 0.160 0.086
Ac 0.750 0.074 0.744
Ac 0.250 0.926 0.256
! M_tot: 0.00 μB/f.u.
! SG: P2_1/m
! Energy of formation from the pure elements: -1.7 eV per formula unit

***

Entry 2:
! CaAg3F6 (GGA-PBE, optimized geometry); values from VASP
&SYSTEM
  ibrav = 0, nat = 10, ntyp = 3
/
ATOMIC_SPECIES
F 19.00 F.upf
Ag 107.87 Ag.upf
Ca 40.08 Ca.upf
CELL_PARAMETERS angstrom
3.766 0.000 0.000
0.000 6.947 -0.365
0.000 -2.531 6.479
ATOMIC_POSITIONS crystal
F 0.000 0.099 0.337
F 0.500 0.382 0.618
F 0.000 0.337 0.099
F 0.000 0.663 0.901
F 0.000 0.901 0.663
F 0.500 0.618 0.382
Ag 0.000 0.000 0.000
Ag 0.500 0.500 0.000
Ag 0.500 0.000 0.500
Ca 0.000 0.500 0.500
! M_tot: 0.97 μB/f.u.
! Formation energy without anion corrections: -43.64 kcal/mol of atoms
! SG: Cmmm

***

Entry 3:
! La2TbHg (GGA-PBE, optimized geometry); values from VASP
&SYSTEM
  ibrav = 0, nat = 4, ntyp = 3
/
ATOMIC_SPECIES
Hg 200.59 Hg.upf
La 138.91 La.upf
Tb 158.93 Tb.upf
CELL_PARAMETERS angstrom
3.798 0.000 0.000
0.000 3.798 0.000
0.000 0.000 9.024
ATOMIC_POSITIONS crystal
Hg 0.500 0.500 0.000
La 0.000 0.000 0.774
La 0.000 0.000 0.226
Tb 0.500 0.500 0.500
! M_tot: 0.00 μB/f.u.
! Energy above the most stable polymorph in this dataset: 23 meV/atom
! SG: P4/mmm
! Energy of formation from the pure elements: -0.9 eV per formula unit

***

Entry 4:
! NiC2 (GGA-PBE, optimized geometry); values from VASP
&SYSTEM
  ibrav = 0, nat = 6, ntyp = 2
/
ATOMIC_SPECIES
C 12.01 C.upf
Ni 58.69 Ni.upf
CELL_PARAMETERS angstrom
1.128 0.476 -3.781
-3.475 -1.739 0.832
-1.668 3.294 -0.083
ATOMIC_POSITIONS crystal
C 0.667 0.333 0.750
C 0.000 0.000 0.500
C 0.333 0.667 0.250
C 0.000 0.000 0.000
Ni 0.333 0.667 0.750
Ni 0.667 0.333 0.250
! M_tot: 0.00 μB/f.u.
! Energy above the most stable polymorph in this dataset: 1909 meV/atom
! SG: P6_3/mmc
! Energy of formation from the pure elements: 7.0 eV per formula unit

***

Entry 5:
! ZrAs (GGA-PBE, optimized geometry); values from VASP
&SYSTEM
  ibrav = 0, nat = 4, ntyp = 2
/
ATOMIC_SPECIES
Zr 91.22 Zr.upf
As 74.92 As.upf
CELL_PARAMETERS angstrom
6.156 -0.012 -0.008
4.444 4.261 -0.008
4.444 1.781 3.871
ATOMIC_POSITIONS crystal
Zr 0.905 0.905 0.905
Zr 0.095 0.095 0.095
As 0.741 0.741 0.741
As 0.259 0.259 0.259
! M_tot: 0.49 μB/f.u.
! SG: R-3m
! Energy of formation from the pure elements: -1.0 eV per formula unit

***

Entry 6:
! Al3CuNi2 (GGA-PBE, optimized geometry); values from VASP
&SYSTEM
  ibrav = 0, nat = 12, ntyp = 3
/
ATOMIC_SPECIES
Al 26.98 Al.upf
Ni 58.69 Ni.upf
Cu 63.55 Cu.upf
CELL_PARAMETERS angstrom
-4.028 3.118 -0.121
-0.683 -5.049 -0.057
-0.271 -0.050 7.713
ATOMIC_POSITIONS crystal
Al 0.500 0.000 0.750
Al 0.000 0.500 0.250
Al 0.500 0.500 0.750
Al 0.500 0.000 0.250
Al 0.000 0.500 0.750
Al 0.500 0.500 0.250
Ni 0.333 0.667 0.500
Ni 0.667 0.333 0.000
Ni 0.667 0.333 0.500
Ni 0.333 0.667 0.000
Cu 0.000 0.000 0.000
Cu 0.000 0.000 0.500
! M_tot: 0.00 μB/f.u.
! Energy above the most stable polymorph in this dataset: 426 meV/atom
! SG: P6/mmm
! Energy of formation from the pure elements: -0.6 eV per formula unit

***

Entry 7:
! ZnCr5Rh6 (GGA-PBE, optimized geometry); values from VASP
&SYSTEM
  ibrav = 0, nat = 12, ntyp = 3
/
ATOMIC_SPECIES
Cr 52.00 Cr.upf
Rh 102.91 Rh.upf
Zn 65.41 Zn.upf
CELL_PARAMETERS angstrom
3.713 -0.003 -1.041
-2.671 6.155 -2.403
-0.005 -0.087 7.127
ATOMIC_POSITIONS crystal
Cr 0.000 0.658 0.342
Cr 0.500 0.175 0.825
Cr 0.500 0.500 0.500
Cr 0.500 0.825 0.175
Cr 0.000 0.342 0.658
Rh 0.750 0.918 0.582
Rh 0.750 0.582 0.918
Rh 0.250 0.418 0.082
Rh 0.250 0.082 0.418
Rh 0.747 0.247 0.247
Rh 0.253 0.753 0.753
Zn 0.000 0.000 0.000
! M_tot: 5.47 μB/f.u.
! SG: Immm
! Energy of formation from the pure elements: -1.3 eV per formula unit

***

Entry 8:
! Th3Ga4Pd2 (GGA-PBE, optimized geometry); values from VASP
&SYSTEM
  ibrav = 0, nat = 9, ntyp = 3
/
ATOMIC_SPECIES
Th 232.04 Th.upf
Pd 106.42 Pd.upf
Ga 69.72 Ga.upf
CELL_PARAMETERS angstrom
-1.531 2.575 3.378
-4.073 -3.880 -1.905
5.355 -3.914 5.410
ATOMIC_POSITIONS crystal
Th 0.323 0.646 0.349
Th 0.677 0.354 0.651
Th 0.000 0.000 0.000
Pd 0.599 0.199 0.272
Pd 0.401 0.801 0.728
Ga 0.731 0.463 0.069
Ga 0.027 0.054 0.366
Ga 0.973 0.946 0.634
Ga 0.269 0.537 0.931
! M_tot: 0.00 μB/f.u.
! SG: C2/m
! Energy of formation from the pure elements: -6.5 eV per formula unit

***

Entry 9:
! Tc2PbSe (GGA-PBE, optimized geometry); values from VASP
&SYSTEM
  ibrav = 0, nat = 4, ntyp = 3
/
ATOMIC_SPECIES
Tc 98.00 Tc.upf
Se 78.96 Se.upf
Pb 207.20 Pb.upf
CELL_PARAMETERS angstrom
-2.948 0.569 -0.090
-0.642 -2.969 2.265
0.661 4.360 5.903
ATOMIC_POSITIONS crystal
Tc 0.000 0.000 0.028
Tc 0.500 0.500 0.185
Se 0.500 0.500 0.853
Pb 0.000 0.000 0.433
! M_tot: 0.00 μB/f.u.
! Energy above the most stable polymorph in this dataset: 88 meV/atom
! Formation energy without anion corrections: 5.56 kcal/mol of atoms
! SG: Pmm2

***

Entry 10:
! Y2TlIr (GGA-PBE, optimized geometry); values from VASP
&SYSTEM
  ibrav = 0, nat = 4, ntyp = 3
/
ATOMIC_SPECIES
Y 88.91 Y.upf
Tl 204.38 Tl.upf
Ir 192.22 Ir.upf
CELL_PARAMETERS angstrom
-3.427 -1.899 3.182
3.658 -1.018 3.326
-0.445 3.331 1.509
ATOMIC_POSITIONS crystal
Y 0.000 0.000 0.000
Y 0.500 0.500 0.000
Tl 0.000 0.500 0.500
Ir 0.500 0.000 0.500
! M_tot: 0.00 μB/f.u.
! Energy above the most stable polymorph in this dataset: 120 meV/atom
! SG: P4/mmm
! Energy of formation from the pure elements: -1.9 eV per formula unit

***

Entry 11:
! RhWN3 (GGA-PBE, optimized geometry); values from VASP
&SYSTEM
  ibrav = 0, nat = 5, ntyp = 3
/
ATOMIC_SPECIES
Rh 102.91 Rh.upf
N 14.01 N.upf
W 183.84 W.upf
CELL_PARAMETERS angstrom
-1.096 -3.012 2.271
-0.226 -2.309 -3.171
3.766 -1.016 0.471
ATOMIC_POSITIONS crystal
Rh 0.500 0.500 0.500
N 0.500 0.000 0.000
N 0.000 0.500 0.000
N 0.000 0.000 0.500
W 0.000 0.000 0.000
! M_tot: 1.60 μB/f.u.
! Formation energy without anion corrections: 21.70 kcal/mol of atoms
! SG: Pm-3m

***

Entry 12:
! La2TaW (GGA-PBE, optimized geometry); values from VASP
&SYSTEM
  ibrav = 0, nat = 4, ntyp = 3
/
ATOMIC_SPECIES
Ta 180.95 Ta.upf
La 138.91 La.upf
W 183.84 W.upf
CELL_PARAMETERS angstrom
-0.596 1.881 -2.787
0.208 -2.804 -1.938
-8.739 -1.324 0.976
ATOMIC_POSITIONS crystal
Ta 0.000 0.000 0.557
La 0.000 0.000 0.940
La 0.500 0.500 0.301
W 0.500 0.500 0.702
! M_tot: 0.00 μB/f.u.
! Energy above the most stable polymorph in this dataset: 0 meV/atom
! SG: P4mm
! Energy of formation from the pure elements: 1.3 eV per formula unit

***

Entry 13:
! ZrTaGa3 (GGA-PBE, optimized geometry); values from VASP
&SYSTEM
  ibrav = 0, nat = 5, ntyp = 3
/
ATOMIC_SPECIES
Ga 69.72 Ga.upf
Zr 91.22 Zr.upf
Ta 180.95 Ta.upf
CELL_PARAMETERS angstrom
3.778 0.000 0.000
0.000 3.778 0.000
-1.889 -1.889 6.488
ATOMIC_POSITIONS crystal
Ga 0.776 0.276 0.553
Ga 0.421 0.421 0.842
Ga 0.276 0.776 0.553
Zr 0.993 0.993 0.987
Ta 0.623 0.623 0.247
! M_tot: 0.00 μB/f.u.
! Energy above the most stable polymorph in this dataset: 0 meV/atom
! SG: I4mm
! Energy of formation from the pure elements: -0.3 eV per formula unit

***

Entry 14:
! BaZn2Si (GGA-PBE, optimized geometry); values from VASP
&SYSTEM
  ibrav = 0, nat = 4, ntyp = 3
/
ATOMIC_SPECIES
Ba 137.33 Ba.upf
Zn 65.41 Zn.upf
Si 28.09 Si.upf
CELL_PARAMETERS angstrom
-0.594 2.769 -2.181
-3.072 -1.500 -1.043
-3.537 3.492 5.398
ATOMIC_POSITIONS crystal
Ba 0.000 0.000 0.510
Zn 0.000 0.000 0.984
Zn 0.500 0.500 0.175
Si 0.500 0.500 0.832
! M_tot: 0.00 μB/f.u.
! Formation energy without anion corrections: 0.99 kcal/mol of atoms
! SG: Cmm2

***

Entry 15:
! HfFe4B2 (GGA-PBE, optimized geometry); values from VASP
&SYSTEM
  ibrav = 0, nat = 14, ntyp = 3
/
ATOMIC_SPECIES
Fe 55.84 Fe.upf
Hf 178.49 Hf.upf
B 10.81 B.upf
CELL_PARAMETERS angstrom
3.358 0.000 0.000
0.000 6.542 0.000
0.000 0.000 6.542
ATOMIC_POSITIONS crystal
Fe 0.000 0.336 0.083
Fe 0.500 0.836 0.417
Fe 0.500 0.417 0.836
Fe 0.500 0.583 0.164
Fe 0.000 0.917 0.664
Fe 0.000 0.664 0.917
Fe 0.000 0.083 0.336
Fe 0.500 0.164 0.583
Hf 0.000 0.500 0.500
Hf 0.500 0.000 0.000
B 0.000 0.213 0.787
B 0.000 0.787 0.213
B 0.500 0.713 0.713
B 0.500 0.287 0.287
! M_tot: 1.41 μB/f.u.
! SG: P4_2/mnm
! Energy of formation from the pure elements: -2.8 eV per formula unit

***

Entry 16:
! TbLuPtRh (GGA-PBE, optimized geometry); values from VASP
&SYSTEM
  ibrav = 0, nat = 4, ntyp = 4
/
ATOMIC_SPECIES
Pt 195.08 Pt.upf
Rh 102.91 Rh.upf
Lu 174.97 Lu.upf
Tb 158.93 Tb.upf
CELL_PARAMETERS angstrom
4.854 0.000 0.000
2.427 4.204 0.000
2.427 1.401 3.963
ATOMIC_POSITIONS crystal
Pt 0.750 0.750 0.750
Rh 0.250 0.250 0.250
Lu 0.500 0.500 0.500
Tb 0.000 0.000 0.000
! M_tot: 0.00 μB/f.u.
! SG: F-43m
! Energy of formation from the pure elements: -4.3 eV per formula unit

***

Entry 17:
! TmTaFe4 (GGA-PBE, optimized geometry); values from VASP
&SYSTEM
  ibrav = 0, nat = 12, ntyp = 3
/
ATOMIC_SPECIES
Ta 180.95 Ta.upf
Fe 55.84 Fe.upf
Tm 168.93 Tm.upf
CELL_PARAMETERS angstrom
4.940 0.000 0.000
-2.470 4.278 0.000
0.000 0.000 8.120
ATOMIC_POSITIONS crystal
Ta 0.667 0.333 0.556
Ta 0.333 0.667 0.444
Fe 0.000 0.000 0.000
Fe 0.168 0.336 0.736
Fe 0.336 0.168 0.264
Fe 0.168 0.832 0.736
Fe 0.832 0.168 0.264
Fe 0.664 0.832 0.736
Fe 0.000 0.000 0.500
Fe 0.832 0.664 0.264
Tm 0.333 0.667 0.067
Tm 0.667 0.333 0.933
! M_tot: 6.34 μB/f.u.
! Energy above the most stable polymorph in this dataset: 0 meV/atom
! SG: P-3m1
! Energy of formation from the pure elements: -0.9 eV per formula unit

***

Entry 18:
! ErSc2SiC (GGA-PBE, optimized geometry); values from VASP
&SYSTEM
  ibrav = 0, nat = 5, ntyp = 4
/
ATOMIC_SPECIES
Si 28.09 Si.upf
Sc 44.96 Sc.upf
C 12.01 C.upf
Er 167.26 Er.upf
CELL_PARAMETERS angstrom
4.720 0.000 0.000
0.000 4.452 0.000
0.000 0.000 4.452
ATOMIC_POSITIONS crystal
Si 0.500 0.500 0.500
Sc 0.000 0.500 0.000
Sc 0.000 0.000 0.500
C 0.000 0.000 0.000
Er 0.500 0.000 0.000
! M_tot: 0.02 μB/f.u.
! Formation energy without anion corrections: -13.93 kcal/mol of atoms
! SG: P4/mmm

***

Entry 19:
! Mg (GGA-PBE, optimized geometry); values from VASP
&SYSTEM
  ibrav = 0, nat = 1, ntyp = 1
/
ATOMIC_SPECIES
Mg 24.30 Mg.upf
CELL_PARAMETERS angstrom
-0.600 -2.728 1.349
1.057 -0.479 -2.877
2.143 1.520 1.649
ATOMIC_POSITIONS crystal
Mg 0.000 0.000 0.000
! M_tot: 0.00 μB/f.u.
! Energy above the most stable polymorph in this dataset: 23 meV/atom
! SG: Im-3m
! Energy of formation from the pure elements: 0.0 eV per formula unit

***

Entry 20:
! ZrCr (GGA-PBE, optimized geometry); values from VASP
&SYSTEM
  ibrav = 0, nat = 6, ntyp = 2
/
ATOMIC_SPECIES
Cr 52.00 Cr.upf
Zr 91.22 Zr.upf
CELL_PARAMETERS angstrom
-1.191 -5.010 -2.115
1.647 -4.236 -3.215
2.726 -4.418 3.924
ATOMIC_POSITIONS crystal
Cr 0.998 0.998 0.043
Cr 0.626 0.626 0.759
Cr 0.618 0.618 0.200
Zr 0.301 0.301 0.903
Zr 0.300 0.300 0.383
Zr 0.992 0.992 0.546
! M_tot: 0.54 μB/f.u.
! SG: Cm
! Energy of formation from the pure elements: 0.4 eV per formula unit